(1)
The following is a PBE calculation of a relaxed structure of MgAgP2O, from the Alexandria database.

For the formation energy from raw total energies, the calculation gives 623 meV per atom. The value obtained for the energy above the lowest structure with this stoichiometry is 0.229 eV/atom. For the density of states at the Fermi level, the calculation gives 5.2 states/eV/cell. The value obtained for the total magnetization is 0.4 μB/f.u. The total energy is -17.11 eV/cell.

Cell lengths 4.936, 4.936, 3.940 Å; angles 90.00, 90.00, 90.00 degrees
Atoms (fractional coordinates):
1 P 0.500 0.000 0.000
2 Ag 0.000 0.000 0.000
3 Mg 0.500 0.500 0.500
4 P 0.000 0.500 0.000
5 O 0.000 0.000 0.500

***

(2)
The following is a PBE calculation of a relaxed structure of MgAg2PO4, from the Alexandria database.

For the formation energy from raw total energies, the calculation gives -1540 meV per atom. For the density of states at the Fermi level, the calculation gives 0.2 states/eV/cell. The value obtained for the total magnetization is 0.0 μB/f.u. The total energy is -44.86 eV/cell.

Cell lengths 5.287, 5.286, 5.518 Å; angles 118.63, 118.66, 89.99 degrees
Atoms (fractional coordinates):
1 Mg 0.986 0.486 0.972
2 O 0.738 0.632 0.694
3 O 0.957 0.061 0.694
4 O 0.839 0.515 0.249
5 Ag 0.236 0.236 0.472
6 O 0.410 0.734 0.249
7 Ag 0.486 0.986 0.972
8 P 0.736 0.736 0.472

***

(3)
The following is a PBE calculation of a relaxed structure of MgAgP2O, from the Alexandria database.

For the formation energy from raw total energies, the calculation gives 394 meV per atom. The value obtained for the energy above the lowest structure with this stoichiometry is 0.000 eV/atom. For the density of states at the Fermi level, the calculation gives 3.8 states/eV/cell. The value obtained for the total magnetization is 0.6 μB/f.u. The total energy is -18.25 eV/cell.

Cell lengths 5.048, 5.048, 3.614 Å; angles 90.00, 90.00, 90.00 degrees
Atoms (fractional coordinates):
1 Mg 0.000 0.000 0.000
2 P 0.000 0.500 0.000
3 Ag 0.500 0.500 0.500
4 P 0.500 0.000 0.000
5 O 0.000 0.000 0.500

***

(4)
The following is a PBE calculation of a relaxed structure of MgAgPO2, from the Alexandria database.

For the formation energy from raw total energies, the calculation gives -101 meV per atom. The value obtained for the energy above the lowest structure with this stoichiometry is 0.000 eV/atom. For the density of states at the Fermi level, the calculation gives 3.1 states/eV/cell. The value obtained for the total magnetization is 2.8 μB/f.u. The total energy is -20.28 eV/cell.

Cell lengths 3.830, 3.830, 5.656 Å; angles 90.00, 90.00, 90.00 degrees
Atoms (fractional coordinates):
1 Mg 0.000 0.000 0.000
2 O 0.000 0.500 0.000
3 P 0.000 0.000 0.500
4 O 0.500 0.000 0.000
5 Ag 0.500 0.500 0.500